# NiTeIO2, relaxed, DFT PBE with a Hubbard U
# calculated volume: 84 Å³ per cell
# crystal system: tetragonal
# offset from the most stable computed form: 0.582 eV per atom
data_NiTeIO2
_space_group_name_H-M_alt 'P 1'
_space_group_IT_number 1
_space_group_name_Hall 'P 1'
_cell_length_a 4.120
_cell_length_b 4.120
_cell_length_c 4.952
_cell_angle_alpha 90.00
_cell_angle_beta 90.00
_cell_angle_gamma 90.00
loop_
_atom_site_label
_atom_site_fract_x
_atom_site_fract_y
_atom_site_fract_z
O1 0.500 0.000 0.000
I1 0.000 0.000 0.500
Te1 0.500 0.500 0.500
Ni1 0.000 0.000 0.000
O2 0.000 0.500 0.000